No. 1
Compound: BaHoNi2P2
Source: Alexandria
Functional: PBE
Structure: optimized geometry

Calculated values
As for the total DFT energy (no corrections): -5.807 eV/atom. The energy of formation is -5.96 eV/f.u. As for the density: 6.86 g cm⁻³.

```
data_BaHoNi2P2
_chemical_formula_sum 'Ba1 Ho1 Ni2 P2'
_cell_length_a 3.953
_cell_length_b 3.953
_cell_length_c 8.622
_cell_angle_alpha 90.00
_cell_angle_beta 90.00
_cell_angle_gamma 120.00
_symmetry_space_group_name_H-M 'P 1'
_symmetry_Int_Tables_number 1
loop_
_symmetry_equiv_pos_as_xyz
'x,y,z'
loop_
_atom_site_label
_atom_site_type_symbol
_atom_site_fract_x
_atom_site_fract_y
_atom_site_fract_z
Ba1 Ba 0.000 0.000 0.000
Ho1 Ho 0.000 0.000 0.500
Ni1 Ni 0.333 0.667 0.718
Ni2 Ni 0.667 0.333 0.282
P1 P 0.333 0.667 0.285
P2 P 0.667 0.333 0.715
```

=====

No. 2
Compound: Ba3HoNp2O9
Source: Alexandria
Functional: PBE
Structure: optimized geometry

Calculated values
As for the total DFT energy (no corrections): -8.460 eV/atom. As for the density: 7.79 g cm⁻³.

```
data_Ba3HoNp2O9
_chemical_formula_sum 'Ba3 Ho1 Np2 O9'
_cell_length_a 6.214
_cell_length_b 6.214
_cell_length_c 7.620
_cell_angle_alpha 90.00
_cell_angle_beta 90.00
_cell_angle_gamma 120.00
_symmetry_space_group_name_H-M 'P 1'
_symmetry_Int_Tables_number 1
loop_
_symmetry_equiv_pos_as_xyz
'x,y,z'
loop_
_atom_site_label
_atom_site_type_symbol
_atom_site_fract_x
_atom_site_fract_y
_atom_site_fract_z
Ba1 Ba 0.000 0.000 0.000
Ba2 Ba 0.333 0.667 0.658
Ba3 Ba 0.667 0.333 0.342
Ho1 Ho 0.000 0.000 0.500
Np1 Np 0.333 0.667 0.167
Np2 Np 0.667 0.333 0.833
O1 O 0.000 0.500 0.000
O2 O 0.170 0.340 0.330
O3 O 0.170 0.830 0.330
O4 O 0.340 0.170 0.670
O5 O 0.500 0.000 0.000
O6 O 0.500 0.500 0.000
O7 O 0.660 0.830 0.330
O8 O 0.830 0.170 0.670
O9 O 0.830 0.660 0.670
```

=====

No. 3
Compound: Ba2HoNp3O12
Source: Alexandria
Functional: PBE
Structure: optimized geometry

Calculated values
As for the total DFT energy (no corrections): -8.883 eV/atom. As for the density: 6.26 g cm⁻³.

```
data_Ba2HoNp3O12
_chemical_formula_sum 'Ba2 Ho1 Np3 O12'
_cell_length_a 7.820
_cell_length_b 7.820
_cell_length_c 7.820
_cell_angle_alpha 62.39
_cell_angle_beta 62.39
_cell_angle_gamma 62.39
_symmetry_space_group_name_H-M 'P 1'
_symmetry_Int_Tables_number 1
loop_
_symmetry_equiv_pos_as_xyz
'x,y,z'
loop_
_atom_site_label
_atom_site_type_symbol
_atom_site_fract_x
_atom_site_fract_y
_atom_site_fract_z
Ba1 Ba 0.187 0.187 0.187
Ba2 Ba 0.813 0.813 0.813
Ho1 Ho 0.500 0.500 0.500
Np1 Np 0.000 0.500 0.500
Np2 Np 0.500 0.000 0.500
Np3 Np 0.500 0.500 0.000
O1 O 0.162 0.575 0.575
O2 O 0.188 0.188 0.542
O3 O 0.188 0.542 0.188
O4 O 0.425 0.425 0.838
O5 O 0.425 0.838 0.425
O6 O 0.458 0.812 0.812
O7 O 0.542 0.188 0.188
O8 O 0.575 0.162 0.575
O9 O 0.575 0.575 0.162
O10 O 0.812 0.458 0.812
O11 O 0.812 0.812 0.458
O12 O 0.838 0.425 0.425
```

=====

No. 4
Compound: Ba2HoNpS6
Source: Alexandria
Functional: PBE
Structure: optimized geometry

Calculated values
As for the total DFT energy (no corrections): -6.406 eV/atom. As for the density: 5.23 g cm⁻³.

```
data_Ba2HoNpS6
_chemical_formula_sum 'Ba4 Ho2 Np2 S12'
_cell_length_a 7.201
_cell_length_b 7.428
_cell_length_c 12.579
_cell_angle_alpha 90.00
_cell_angle_beta 124.89
_cell_angle_gamma 90.00
_symmetry_space_group_name_H-M 'P 1'
_symmetry_Int_Tables_number 1
loop_
_symmetry_equiv_pos_as_xyz
'x,y,z'
loop_
_atom_site_label
_atom_site_type_symbol
_atom_site_fract_x
_atom_site_fract_y
_atom_site_fract_z
Ba1 Ba 0.236 0.058 0.250
Ba2 Ba 0.236 0.442 0.750
Ba3 Ba 0.764 0.558 0.250
Ba4 Ba 0.764 0.942 0.750
Ho1 Ho 0.500 0.000 0.000
Ho2 Ho 0.500 0.500 0.500
Np1 Np 0.000 0.000 0.500
Np2 Np 0.000 0.500 0.000
S1 S 0.158 0.211 0.958
S2 S 0.158 0.289 0.458
S3 S 0.248 0.702 0.959
S4 S 0.248 0.798 0.459
S5 S 0.324 0.017 0.745
S6 S 0.324 0.483 0.245
S7 S 0.676 0.517 0.755
S8 S 0.676 0.983 0.255
S9 S 0.752 0.202 0.541
S10 S 0.752 0.298 0.041
S11 S 0.842 0.711 0.542
S12 S 0.842 0.789 0.042
```